# 1
Dy2SbRh2: relaxed, PBE. Values from VASP.

Calculated values
D(E_F): 2.32 states/eV per cell
ΔE_f (raw): -4.58 eV per formula unit

Cell and atoms, written as Quantum ESPRESSO input:
```
&SYSTEM
  ibrav = 0, nat = 5, ntyp = 3
/
ATOMIC_SPECIES
Rh 102.91 Rh.upf
Dy 162.50 Dy.upf
Sb 121.76 Sb.upf
ATOMIC_POSITIONS crystal
Rh 0.500 0.729 0.271
Rh 0.500 0.271 0.729
Dy 0.797 0.703 0.703
Dy 0.203 0.297 0.297
Sb 0.000 0.000 0.000
CELL_PARAMETERS angstrom
4.043 0.000 1.812
1.329 4.768 2.450
-0.048 0.019 5.523
```

=====

# 2
Dy2Sb3Rh4: relaxed, PBE. Values from VASP.

Calculated values
D(E_F): 10.56 states/eV per cell
ΔE_f (raw): -6.92 eV per formula unit

Cell and atoms, written as Quantum ESPRESSO input:
```
&SYSTEM
  ibrav = 0, nat = 18, ntyp = 3
/
ATOMIC_SPECIES
Rh 102.91 Rh.upf
Sb 121.76 Sb.upf
Dy 162.50 Dy.upf
ATOMIC_POSITIONS crystal
Rh 0.182 0.750 0.864
Rh 0.670 0.519 0.340
Rh 0.170 0.981 0.340
Rh 0.318 0.250 0.136
Rh 0.818 0.250 0.136
Rh 0.830 0.019 0.660
Rh 0.330 0.481 0.660
Rh 0.682 0.750 0.864
Sb 0.500 0.500 0.000
Sb 0.988 0.250 0.476
Sb 0.512 0.750 0.524
Sb 0.488 0.250 0.476
Sb 0.012 0.750 0.524
Sb 0.000 0.000 0.000
Dy 0.600 0.908 0.201
Dy 0.100 0.592 0.201
Dy 0.400 0.092 0.799
Dy 0.900 0.408 0.799
CELL_PARAMETERS angstrom
6.070 0.000 0.000
0.000 7.402 0.000
-3.035 0.000 7.942
```

=====

# 3
DySbRh3: relaxed, PBE. Values from VASP.

Calculated values
Offset from the most stable computed form: 160 meV/atom
D(E_F): 8.42 states/eV per cell
ΔE_f (raw): -2.06 eV per formula unit

Cell and atoms, written as Quantum ESPRESSO input:
```
&SYSTEM
  ibrav = 0, nat = 10, ntyp = 3
/
ATOMIC_SPECIES
Rh 102.91 Rh.upf
Dy 162.50 Dy.upf
Sb 121.76 Sb.upf
ATOMIC_POSITIONS crystal
Rh 0.532 0.782 0.250
Rh 0.000 0.372 0.872
Rh 0.500 0.628 0.628
Rh 0.500 0.372 0.372
Rh 0.000 0.628 0.128
Rh 0.468 0.218 0.750
Dy 0.947 0.197 0.250
Dy 0.053 0.803 0.750
Sb 0.500 0.500 0.000
Sb 0.500 0.000 0.500
CELL_PARAMETERS angstrom
-6.511 -0.290 2.525
5.611 -1.956 3.678
4.205 5.497 -0.973
```

=====

# 4
Dy2SbRh: relaxed, PBE. Values from VASP.

Calculated values
Offset from the most stable computed form: 224 meV/atom
D(E_F): 1.21 states/eV per cell
ΔE_f (raw): -2.94 eV per formula unit

Cell and atoms, written as Quantum ESPRESSO input:
```
&SYSTEM
  ibrav = 0, nat = 4, ntyp = 3
/
ATOMIC_SPECIES
Dy 162.50 Dy.upf
Sb 121.76 Sb.upf
Rh 102.91 Rh.upf
ATOMIC_POSITIONS crystal
Dy 0.752 0.752 0.745
Dy 0.248 0.248 0.255
Sb 0.000 0.000 0.000
Rh 0.500 0.500 0.500
CELL_PARAMETERS angstrom
-2.394 -4.238 1.424
0.825 -4.339 -2.493
2.652 -3.768 2.277
```

=====

# 5
DySb2Rh4: relaxed, PBE. Values from VASP.

Calculated values
Offset from the most stable computed form: 312 meV/atom
D(E_F): 7.75 states/eV per cell
ΔE_f (raw): -1.76 eV per formula unit

Cell and atoms, written as Quantum ESPRESSO input:
```
&SYSTEM
  ibrav = 0, nat = 7, ntyp = 3
/
ATOMIC_SPECIES
Dy 162.50 Dy.upf
Rh 102.91 Rh.upf
Sb 121.76 Sb.upf
ATOMIC_POSITIONS crystal
Dy 0.000 0.000 0.000
Rh 0.750 0.250 0.500
Rh 0.857 0.857 0.713
Rh 0.250 0.750 0.500
Rh 0.143 0.143 0.287
Sb 0.361 0.361 0.721
Sb 0.639 0.639 0.279
CELL_PARAMETERS angstrom
3.902 0.000 -0.899
-0.207 3.896 -0.899
0.080 0.084 9.259
```

=====

# 6
Dy2SbRh: relaxed, PBE. Values from VASP.

Calculated values
Offset from the most stable computed form: 0 meV/atom
D(E_F): 1.97 states/eV per cell
ΔE_f (raw): -3.84 eV per formula unit

Cell and atoms, written as Quantum ESPRESSO input:
```
&SYSTEM
  ibrav = 0, nat = 8, ntyp = 3
/
ATOMIC_SPECIES
Rh 102.91 Rh.upf
Dy 162.50 Dy.upf
Sb 121.76 Sb.upf
ATOMIC_POSITIONS crystal
Rh 0.250 0.338 0.710
Rh 0.750 0.662 0.290
Dy 0.750 0.233 0.902
Dy 0.250 0.767 0.098
Dy 0.250 0.799 0.551
Dy 0.750 0.201 0.449
Sb 0.250 0.320 0.208
Sb 0.750 0.680 0.792
CELL_PARAMETERS angstrom
4.291 0.000 0.000
0.000 6.094 -0.035
0.000 -3.077 7.544
```

=====

# 7
SmDySb2Rh5: relaxed, PBE. Values from VASP.

Calculated values
D(E_F): 6.10 states/eV per cell
ΔE_f (raw): -4.87 eV per formula unit

Cell and atoms, written as Quantum ESPRESSO input:
```
&SYSTEM
  ibrav = 0, nat = 9, ntyp = 4
/
ATOMIC_SPECIES
Rh 102.91 Rh.upf
Sb 121.76 Sb.upf
Dy 162.50 Dy.upf
Sm 150.36 Sm.upf
ATOMIC_POSITIONS crystal
Rh 0.500 0.000 0.285
Rh 0.500 0.000 0.715
Rh 0.000 0.500 0.715
Rh 0.000 0.500 0.285
Rh 0.500 0.500 0.500
Sb 0.500 0.500 0.157
Sb 0.500 0.500 0.843
Dy 0.000 0.000 0.000
Sm 0.000 0.000 0.500
CELL_PARAMETERS angstrom
-3.062 -2.837 1.537
3.017 -1.766 2.751
-2.314 5.932 6.343
```

=====

# 8
Dy2Zn2SbRh5: relaxed, PBE. Values from VASP.

Calculated values
D(E_F): 12.58 states/eV per cell
ΔE_f (raw): -6.80 eV per formula unit

Cell and atoms, written as Quantum ESPRESSO input:
```
&SYSTEM
  ibrav = 0, nat = 20, ntyp = 4
/
ATOMIC_SPECIES
Rh 102.91 Rh.upf
Zn 65.41 Zn.upf
Dy 162.50 Dy.upf
Sb 121.76 Sb.upf
ATOMIC_POSITIONS crystal
Rh 0.500 0.705 0.433
Rh 0.500 0.295 0.567
Rh 0.500 0.795 0.933
Rh 0.500 0.067 0.795
Rh 0.500 0.567 0.705
Rh 0.500 0.933 0.205
Rh 0.500 0.500 0.000
Rh 0.500 0.433 0.295
Rh 0.500 0.205 0.067
Rh 0.500 0.000 0.500
Zn 0.000 0.624 0.876
Zn 0.000 0.876 0.376
Zn 0.000 0.376 0.124
Zn 0.000 0.124 0.624
Dy 0.000 0.173 0.327
Dy 0.000 0.673 0.173
Dy 0.000 0.827 0.673
Dy 0.000 0.327 0.827
Sb 0.000 0.500 0.500
Sb 0.000 0.000 0.000
CELL_PARAMETERS angstrom
-1.016 -3.346 -1.035
9.241 -2.932 0.408
-1.206 -2.508 9.296
```